! KPr2TaN4, relaxed, DFT PBE-GGA; values from VASP
&SYSTEM
  ibrav = 0, nat = 16, ntyp = 4
/
ATOMIC_SPECIES
K 39.10 K.upf
Pr 140.91 Pr.upf
Ta 180.95 Ta.upf
N 14.01 N.upf
CELL_PARAMETERS angstrom
-3.470 3.472 5.215
3.470 -3.472 5.215
3.470 3.472 -5.215
ATOMIC_POSITIONS crystal
K 0.500 0.000 0.000
K 0.500 0.500 0.500
Pr 0.000 0.000 0.000
Pr 0.000 0.000 0.500
Pr 0.000 0.500 0.000
Pr 0.500 0.000 0.500
Ta 0.000 0.500 0.500
Ta 0.500 0.500 0.000
N 0.178 0.697 0.481
N 0.246 0.269 0.522
N 0.246 0.724 0.978
N 0.285 0.303 0.981
N 0.715 0.697 0.019
N 0.754 0.276 0.022
N 0.754 0.731 0.478
N 0.822 0.303 0.519
! Calculated total energy, Ry/atom: -0.562
! ρ, kg/m3: 7372
! Space group: Imma (74)
! Formation energy (no corrections), eV/atom: -0.6753
! Spin magnetization, μB per cell: 0.0